# 1
## Zr2CrTc (PBE)

Data for crystalline Zr2CrTc at its relaxed geometry.

Values from the calculation:
V ... 17.97 A^3/atom
Formation enthalpy at 0 K ... 0.127 eV/atom

Lattice parameters (Å, degrees): 3.335 4.891 8.815 90.00 90.00 90.00
Space group Immm (No. 71)
Unique sites:
Zr  0.000  0.000  0.238 x4
Cr  0.000  0.500  0.000 x2
Tc  0.000  0.500  0.500 x2

# 2
## Zr2CrTc (PBE)

Data for crystalline Zr2CrTc at its relaxed geometry.

Values from the calculation:
V ... 17.43 A^3/atom
Formation enthalpy at 0 K ... 0.152 eV/atom

Lattice parameters (Å, degrees): 2.966 4.303 5.520 90.00 98.11 90.00
Space group P2/m (No. 10)
Unique sites:
Zr  0.248  0.000  0.248 x2
Cr  0.500  0.500  0.000 x1
Tc  0.000  0.500  0.500 x1

# 3
## Cr5Te (PBE)

Data for crystalline Cr5Te at its relaxed geometry.

Values from the calculation:
V ... 13.56 A^3/atom
Formation energy from raw total energies ... 193.7 kJ/mol of formula units
Energy above the lowest structure with this stoichiometry ... 25 meV/atom

Lattice parameters (Å, degrees): 2.978 2.978 9.176 90.00 90.00 90.00
Space group P4/mmm (No. 123)
Unique sites:
Cr  0.000  0.000  0.000 x1
Cr  0.000  0.000  0.303 x2
Cr  0.500  0.500  0.154 x2
Te  0.500  0.500  0.500 x1

# 4
## Cr5Te6 (PBE)

Data for crystalline Cr5Te6 at its relaxed geometry.

Values from the calculation:
V ... 24.32 A^3/atom
Formation energy from raw total energies ... -153.2 kJ/mol of formula units

Lattice parameters (Å, degrees): 7.479 8.121 9.391 89.72 78.17 73.70
Space group P-1 (No. 2)
Unique sites:
Cr  0.000  0.000  0.000 x1
Cr  0.000  0.500  0.000 x1
Cr  0.019  0.252  0.499 x2
Cr  0.322  0.403  0.177 x2
Cr  0.337  0.669  0.661 x2
Cr  0.342  0.926  0.175 x2
Te  0.046  0.985  0.691 x2
Te  0.063  0.487  0.693 x2
Te  0.278  0.178  0.973 x2
Te  0.284  0.680  0.975 x2
Te  0.376  0.651  0.359 x2
Te  0.396  0.148  0.368 x2

# 5
## Cr2Te (PBE)

Data for crystalline Cr2Te at its relaxed geometry.

Values from the calculation:
V ... 16.37 A^3/atom
Formation energy from raw total energies ... 159.0 kJ/mol of formula units
Energy above the lowest structure with this stoichiometry ... 462 meV/atom

Lattice parameters (Å, degrees): 3.0936 3.0936 5.9250 90.00 90.00 120.00
Space group P-3m1 (No. 164)
Unique sites:
Cr  0.3333  0.6667  0.3775 x2
Te  0.0000  0.0000  0.0000 x1

# 6
## Cr2Te (PBE)

Data for crystalline Cr2Te at its relaxed geometry.

Values from the calculation:
V ... 15.24 A^3/atom
Formation energy from raw total energies ... 129.3 kJ/mol of formula units
Energy above the lowest structure with this stoichiometry ... 360 meV/atom

Lattice parameters (Å, degrees): 8.895 3.190 6.903 90.00 111.01 90.00
Space group C2/m (No. 12)
Unique sites:
Cr  0.172  0.000  0.039 x4
Cr  0.176  0.000  0.637 x4
Te  0.021  0.500  0.272 x4

# 7
## CrTe5 (PBE)

Data for crystalline CrTe5 at its relaxed geometry.

Values from the calculation:
V ... 30.78 A^3/atom
Formation energy from raw total energies ... 153.4 kJ/mol of formula units

Lattice parameters (Å, degrees): 8.1137 8.1137 3.2390 90.00 90.00 120.00
Space group P-62m (No. 189)
Unique sites:
Cr  0.0000  0.0000  0.0000 x1
Te  0.0000  0.7474  0.5000 x3
Te  0.3333  0.6667  0.0000 x2

# 8
## Cr5Te3 (PBE)

Data for crystalline Cr5Te3 at its relaxed geometry.

Values from the calculation:
V ... 17.00 A^3/atom
Formation energy from raw total energies ... 330.6 kJ/mol of formula units

Lattice parameters (Å, degrees): 7.266 8.424 4.444 90.00 90.00 90.00
Space group Cmmm (No. 65)
Unique sites:
Cr  0.000  0.000  0.000 x2
Cr  0.205  0.500  0.500 x4
Cr  0.250  0.250  0.000 x4
Te  0.000  0.204  0.500 x4
Te  0.000  0.500  0.000 x2